This record from Alexandria describes crystalline FeP2SeO at its relaxed geometry. The functional is GGA+U.

```
data_FeP2SeO
_chemical_formula_sum 'Fe1 P2 Se1 O1'
_space_group_name_H-M_alt 'P 4/m m m'
_space_group_IT_number 123
_space_group_name_Hall '-P 4 2'
_cell_length_a 4.8590
_cell_length_b 4.8590
_cell_length_c 3.6548
_cell_angle_alpha 90.00
_cell_angle_beta 90.00
_cell_angle_gamma 90.00
loop_
_atom_site_label
_atom_site_type_symbol
_atom_site_fract_x
_atom_site_fract_y
_atom_site_fract_z
_atom_site_occupancy
Fe1 Fe 0.0000 0.0000 0.0000 1
P1 P 0.0000 0.5000 0.5000 1
Se1 Se 0.5000 0.5000 0.5000 1
O1 O 0.5000 0.5000 0.0000 1
```

Results
**E_tot**: -20.84 eV per formula unit